Entry 1:
First-principles (PBE-GGA) data for CeDy2Ho after structural relaxation, as listed in Alexandria.

a b c (Å): 3.518 3.518 9.981
angles (deg): 90.00 90.00 90.00
Positions (direct):
Ho 0.500 0.500 0.500
Ce 0.500 0.500 0.000
Dy 0.000 0.000 0.754
Dy 0.000 0.000 0.246

E   -4.87 eV per atom
SG   P4/mmm (123)
Energy above the lowest structure with this stoichiometry   5 meV/atom

***

Entry 2:
First-principles (PBE-GGA) data for CeDy5Ho3 after structural relaxation, as listed in Alexandria.

a b c (Å): 8.027 8.027 11.573
angles (deg): 69.47 69.47 88.94
Positions (direct):
Ce 0.914 0.914 0.803
Ce 0.086 0.086 0.197
Dy 0.890 0.390 0.241
Dy 0.279 0.721 0.000
Dy 0.678 0.678 0.062
Dy 0.486 0.486 0.382
Dy 0.514 0.514 0.618
Dy 0.322 0.322 0.938
Dy 0.390 0.890 0.241
Dy 0.721 0.279 0.000
Dy 0.110 0.610 0.759
Dy 0.610 0.110 0.759
Ho 0.667 0.667 0.772
Ho 0.793 0.793 0.333
Ho 0.000 0.000 0.000
Ho 0.000 0.000 0.500
Ho 0.333 0.333 0.228
Ho 0.207 0.207 0.667

E   -4.14 eV per atom
SG   C2/m (12)

***

ΔE_f, respectively: 60, 599 meV per atom.
V, respectively: 123.5, 649.3 Å³ per cell.